{
  "formula": "LiCeSi2Pd5",
  "functional": "PBE",
  "state": "relaxed",
  "lattice_angstrom": [[4.146, 0.000, 0.000], [0.000, 4.146, 0.000], [0.000, 0.000, 8.992]],
  "species": ["Li", "Ce", "Si", "Si", "Pd", "Pd", "Pd", "Pd", "Pd"],
  "fractional_positions": [[0.000, 0.000, 0.000], [0.000, 0.000, 0.500], [0.500, 0.500, 0.127], [0.500, 0.500, 0.873], [0.000, 0.500, 0.263], [0.000, 0.500, 0.737], [0.500, 0.000, 0.263], [0.500, 0.000, 0.737], [0.500, 0.500, 0.500]],
  "crystal_system": "tetragonal",
  "energy_ev_per_cell": -50.695,
  "raw_formation_energy_ev_per_atom": -0.671,
  "dos_at_fermi_per_ev_cell": 7.485
}